YFeAu2: relaxed, PBE.

Unit cell a=7.431 b=4.336 c=4.076 alpha=89.99 beta=56.75 gamma=126.81
Site moments in Bohr magnetons follow the coordinates.
Positions (direct):
Au: 0.000 0.000 0.000  -0.04
Au: 0.500 0.000 0.500  -0.04
Fe: 0.000 0.500 0.500  2.63
Y: 0.500 0.500 0.000  -0.22

crystal system	orthorhombic
ΔE_f	-0.92	eV/f.u.
density of states at the Fermi level	4.63	states/eV/cell
magnetization	2.149	μB per formula unit

YFeAu: relaxed, PBE.

Unit cell a=5.434 b=5.434 c=5.434 alpha=142.44 beta=142.42 gamma=54.18
Site moments in Bohr magnetons follow the coordinates.
Positions (direct):
Fe: 0.348 0.348 0.000  2.76
Au: 0.983 0.983 0.000  0.01
Y: 0.670 0.670 0.000  -0.20

crystal system	tetragonal
ΔE_f	-0.45	eV/f.u.
density of states at the Fermi level	4.48	states/eV/cell
magnetization	2.459	μB per formula unit

YFeAu2: relaxed, PBE.

Unit cell a=5.163 b=5.163 c=4.384 alpha=67.25 beta=67.25 gamma=46.19
Site moments in Bohr magnetons follow the coordinates.
Positions (direct):
Au: 0.761 0.761 0.722  -0.01
Y: 0.244 0.244 0.247  -0.14
Au: 0.004 0.004 0.983  0.01
Fe: 0.491 0.491 0.548  2.68

crystal system	monoclinic
ΔE_f	-0.93	eV/f.u.
density of states at the Fermi level	5.06	states/eV/cell
magnetization	2.484	μB per formula unit

YFe2Au: relaxed, PBE.

Unit cell a=5.212 b=5.212 c=4.457 alpha=64.74 beta=64.74 gamma=39.89
Site moments in Bohr magnetons follow the coordinates.
Positions (direct):
Fe: 0.282 0.282 0.218  2.49
Y: 0.511 0.511 0.489  -0.23
Au: 0.738 0.738 0.762  -0.01
Fe: 0.969 0.969 0.031  2.33

crystal system	orthorhombic
ΔE_f	-0.02	eV/f.u.
density of states at the Fermi level	2.81	states/eV/cell
magnetization	4.443	μB per formula unit

ZnFeAu: relaxed, PBE.

Unit cell a=3.034 b=3.034 c=9.537 alpha=90.00 beta=90.00 gamma=90.00
Site moments in Bohr magnetons follow the coordinates.
Positions (direct):
Au: 0.500 0.000 0.110  -0.02
Zn: 0.500 0.000 0.716  -0.05
Zn: 0.000 0.500 0.284  -0.05
Fe: 0.000 0.500 0.561  2.38
Au: 0.000 0.500 0.890  -0.02
Fe: 0.500 0.000 0.439  2.38

crystal system	tetragonal
energy above the lowest structure with this stoichiometry	0.000	eV/atom
ΔE_f	-0.14	eV/f.u.
density of states at the Fermi level	4.01	states/eV/cell
magnetization	2.274	μB per formula unit

ZnFe2Au2: relaxed, PBE.

Unit cell a=6.422 b=6.422 c=3.824 alpha=90.00 beta=90.00 gamma=90.00
Site moments in Bohr magnetons follow the coordinates.
Positions (direct):
Fe: 0.125 0.375 0.000  2.53
Au: 0.169 0.669 0.500  0.02
Au: 0.669 0.831 0.500  0.03
Fe: 0.625 0.125 0.000  2.53
Au: 0.331 0.169 0.500  0.03
Fe: 0.375 0.875 0.000  2.54
Au: 0.831 0.331 0.500  0.02
Zn: 0.000 0.000 0.000  -0.07
Zn: 0.500 0.500 0.000  -0.07
Fe: 0.875 0.625 0.000  2.53

crystal system	tetragonal
ΔE_f	1.21	eV/f.u.
density of states at the Fermi level	10.15	states/eV/cell
magnetization	5.020	μB per formula unit

Zn2FeAu: relaxed, PBE.

Unit cell a=2.800 b=2.800 c=8.894 alpha=80.94 beta=80.94 gamma=60.00
Site moments in Bohr magnetons follow the coordinates.
Positions (direct):
Au: 0.500 0.500 0.500  -0.02
Fe: 0.667 0.667 0.000  2.47
Zn: 0.256 0.256 0.232  -0.04
Zn: 0.077 0.077 0.768  -0.04

crystal system	trigonal
ΔE_f	0.05	eV/f.u.
density of states at the Fermi level	2.08	states/eV/cell
magnetization	2.293	μB per formula unit

Zn2FeAu2: relaxed, PBE.

Unit cell a=7.232 b=7.232 c=3.086 alpha=90.00 beta=90.00 gamma=90.00
Site moments in Bohr magnetons follow the coordinates.
Positions (direct):
Au: 0.331 0.169 0.500  0.01
Zn: 0.631 0.131 0.000  -0.01
Zn: 0.369 0.869 0.000  -0.01
Fe: 0.000 0.000 0.000  2.98
Zn: 0.869 0.631 0.000  -0.01
Fe: 0.500 0.500 0.000  2.98
Au: 0.831 0.331 0.500  0.00
Zn: 0.131 0.369 0.000  -0.01
Au: 0.669 0.831 0.500  0.01
Au: 0.169 0.669 0.500  0.00

crystal system	tetragonal
energy above the lowest structure with this stoichiometry	0.003	eV/atom
ΔE_f	0.46	eV/f.u.
density of states at the Fermi level	8.28	states/eV/cell
magnetization	2.996	μB per formula unit

ZnFeAu4: relaxed, PBE.

Unit cell a=5.450 b=5.450 c=5.450 alpha=60.00 beta=60.00 gamma=60.00
Site moments in Bohr magnetons follow the coordinates.
Positions (direct):
Au: 0.375 0.375 0.875  0.00
Au: 0.875 0.375 0.375  0.00
Zn: 0.000 0.000 0.000  0.01
Au: 0.375 0.375 0.375  0.00
Au: 0.375 0.875 0.375  0.00
Fe: 0.750 0.750 0.750  3.24

crystal system	cubic
ΔE_f	2.15	eV/f.u.
density of states at the Fermi level	4.78	states/eV/cell
magnetization	3.324	μB per formula unit

Zn2FeAu: relaxed, PBE.

Unit cell a=6.982 b=6.982 c=5.602 alpha=51.45 beta=51.45 gamma=90.00
Site moments in Bohr magnetons follow the coordinates.
Positions (direct):
Zn: 0.616 0.125 0.250  -0.04
Zn: 0.375 0.384 0.750  -0.04
Zn: 0.134 0.625 0.250  -0.05
Fe: 0.500 0.500 0.000  2.63
Fe: 0.250 0.750 0.500  2.63
Zn: 0.875 0.866 0.750  -0.05
Au: 0.750 0.250 0.500  -0.01
Au: 0.000 0.000 0.000  -0.01

crystal system	tetragonal
ΔE_f	0.99	eV/f.u.
density of states at the Fermi level	3.54	states/eV/cell
magnetization	2.524	μB per formula unit

Zn2FeAu: relaxed, PBE.

Unit cell a=5.297 b=5.297 c=5.297 alpha=148.32 beta=129.88 gamma=60.51
Site moments in Bohr magnetons follow the coordinates.
Positions (direct):
Zn: 0.992 0.992 0.000  -0.03
Au: 0.504 0.504 0.000  0.00
Fe: 0.756 0.256 0.500  2.57
Zn: 0.247 0.747 0.500  -0.05

crystal system	orthorhombic
ΔE_f	0.21	eV/f.u.
density of states at the Fermi level	2.84	states/eV/cell
magnetization	2.475	μB per formula unit

Zn2FeAu: relaxed, PBE.

Unit cell a=5.240 b=5.240 c=5.240 alpha=148.35 beta=126.97 gamma=63.09
Site moments in Bohr magnetons follow the coordinates.
Positions (direct):
Fe: 0.750 0.250 0.500  2.64
Au: 0.250 0.750 0.500  0.01
Zn: 0.991 0.991 0.000  -0.03
Zn: 0.509 0.509 0.000  -0.03

crystal system	orthorhombic
ΔE_f	0.20	eV/f.u.
density of states at the Fermi level	2.28	states/eV/cell
magnetization	2.599	μB per formula unit

Zn2FeAu: relaxed, PBE.

Unit cell a=4.691 b=4.691 c=4.845 alpha=80.98 beta=80.98 gamma=34.33
Site moments in Bohr magnetons follow the coordinates.
Positions (direct):
Au: 0.498 0.498 0.502  0.02
Zn: 0.252 0.252 0.242  -0.04
Zn: 0.003 0.003 0.992  -0.03
Fe: 0.747 0.747 0.763  2.66

crystal system	monoclinic
ΔE_f	0.16	eV/f.u.
density of states at the Fermi level	2.45	states/eV/cell
magnetization	2.591	μB per formula unit

ZnFeAu: relaxed, PBE.

Unit cell a=6.045 b=6.045 c=2.787 alpha=76.67 beta=76.68 gamma=26.65
Site moments in Bohr magnetons follow the coordinates.
Positions (direct):
Au: 0.997 0.997 0.003  -0.01
Fe: 0.327 0.327 0.673  2.65
Zn: 0.676 0.676 0.324  -0.07

crystal system	tetragonal
energy above the lowest structure with this stoichiometry	0.077	eV/atom
ΔE_f	0.09	eV/f.u.
density of states at the Fermi level	2.01	states/eV/cell
magnetization	2.539	μB per formula unit

Zn2Fe2Au: relaxed, PBE.

Unit cell a=7.301 b=7.301 c=2.691 alpha=90.00 beta=90.00 gamma=90.00
Site moments in Bohr magnetons follow the coordinates.
Positions (direct):
Fe: 0.887 0.613 0.000  2.47
Fe: 0.113 0.387 0.000  2.47
Au: 0.000 0.000 0.000  0.03
Fe: 0.387 0.887 0.000  2.45
Zn: 0.319 0.181 0.500  -0.06
Zn: 0.819 0.319 0.500  -0.06
Zn: 0.181 0.681 0.500  -0.06
Fe: 0.613 0.113 0.000  2.45
Zn: 0.681 0.819 0.500  -0.06
Au: 0.500 0.500 0.000  0.03

crystal system	tetragonal
energy above the lowest structure with this stoichiometry	0.000	eV/atom
ΔE_f	0.71	eV/f.u.
density of states at the Fermi level	4.69	states/eV/cell
magnetization	4.828	μB per formula unit

ZnFe3Au: relaxed, PBE.

Unit cell a=4.759 b=4.759 c=4.759 alpha=90.00 beta=90.00 gamma=90.00
Site moments in Bohr magnetons follow the coordinates.
Positions (direct):
Au: 0.000 0.000 0.000  0.15
Fe: 0.000 0.000 0.500  3.74
Fe: 0.000 0.500 0.000  3.18
Fe: 0.500 0.000 0.000  2.53
Zn: 0.500 0.500 0.500  -0.02

crystal system	cubic
energy above the lowest structure with this stoichiometry	0.257	eV/atom
ΔE_f	6.67	eV/f.u.
density of states at the Fermi level	7.76	states/eV/cell
magnetization	9.607	μB per formula unit

ZnFeAu: relaxed, PBE.

Unit cell a=4.358 b=4.358 c=2.741 alpha=90.00 beta=90.00 gamma=120.00
Site moments in Bohr magnetons follow the coordinates.
Positions (direct):
Au: 0.000 0.000 0.965  0.03
Fe: 0.333 0.667 0.345  2.81
Zn: 0.667 0.333 0.689  -0.04

crystal system	trigonal
energy above the lowest structure with this stoichiometry	0.161	eV/atom
ΔE_f	0.34	eV/f.u.
density of states at the Fermi level	2.34	states/eV/cell
magnetization	2.822	μB per formula unit

Zn2FeAu: relaxed, PBE.

Unit cell a=4.849 b=4.849 c=4.849 alpha=133.41 beta=133.41 gamma=68.01
Site moments in Bohr magnetons follow the coordinates.
Positions (direct):
Zn: 0.000 0.000 0.000  -0.02
Zn: 0.250 0.750 0.500  -0.03
Au: 0.500 0.500 0.000  0.04
Fe: 0.750 0.250 0.500  2.75

crystal system	tetragonal
ΔE_f	0.10	eV/f.u.
density of states at the Fermi level	3.02	states/eV/cell
magnetization	2.802	μB per formula unit

Zn2FeAu: relaxed, PBE.

Unit cell a=3.925 b=3.924 c=3.770 alpha=90.00 beta=90.00 gamma=90.00
Site moments in Bohr magnetons follow the coordinates.
Positions (direct):
Zn: 0.000 0.000 0.000  -0.06
Fe: 0.000 0.500 0.500  2.38
Au: 0.500 0.000 0.500  -0.05
Zn: 0.500 0.500 0.000  -0.06

crystal system	tetragonal
ΔE_f	-0.09	eV/f.u.
density of states at the Fermi level	3.14	states/eV/cell
magnetization	2.173	μB per formula unit

Zn2FeAu: relaxed, PBE.

Unit cell a=8.918 b=8.918 c=8.918 alpha=18.06 beta=18.06 gamma=18.06
Site moments in Bohr magnetons follow the coordinates.
Positions (direct):
Zn: 0.006 0.006 0.006  -0.04
Zn: 0.494 0.494 0.494  -0.04
Fe: 0.750 0.750 0.750  2.46
Au: 0.250 0.250 0.250  -0.03

crystal system	trigonal
ΔE_f	0.04	eV/f.u.
density of states at the Fermi level	1.90	states/eV/cell
magnetization	2.267	μB per formula unit

Zn2FeAu: relaxed, PBE.

Unit cell a=4.143 b=2.765 c=5.340 alpha=75.36 beta=90.00 gamma=90.00
Site moments in Bohr magnetons follow the coordinates.
Positions (direct):
Zn: 0.000 0.204 0.979  -0.05
Zn: 0.500 0.053 0.257  -0.03
Au: 0.000 0.446 0.479  0.00
Fe: 0.500 0.797 0.785  2.70

crystal system	monoclinic
ΔE_f	0.13	eV/f.u.
density of states at the Fermi level	2.59	states/eV/cell
magnetization	2.606	μB per formula unit

ZnFeAu: relaxed, PBE.

Unit cell a=4.244 b=4.244 c=4.244 alpha=60.00 beta=60.00 gamma=60.00
Site moments in Bohr magnetons follow the coordinates.
Positions (direct):
Zn: 0.500 0.500 0.500  -0.06
Au: 0.750 0.750 0.750  0.04
Fe: 0.000 0.000 0.000  3.05

crystal system	cubic
energy above the lowest structure with this stoichiometry	0.302	eV/atom
ΔE_f	0.76	eV/f.u.
density of states at the Fermi level	1.49	states/eV/cell
magnetization	2.992	μB per formula unit

ZnFe3Au: relaxed, PBE.

Unit cell a=4.391 b=4.391 c=4.391 alpha=90.00 beta=90.00 gamma=90.00
Site moments in Bohr magnetons follow the coordinates.
Positions (direct):
Au: 0.500 0.500 0.500  0.03
Fe: 0.000 0.500 0.000  2.84
Fe: 0.000 0.000 0.500  3.03
Zn: 0.000 0.000 0.000  -0.12
Fe: 0.500 0.000 0.000  2.59

crystal system	cubic
energy above the lowest structure with this stoichiometry	0.000	eV/atom
ΔE_f	5.39	eV/f.u.
density of states at the Fermi level	5.85	states/eV/cell
magnetization	8.225	μB per formula unit

Zn2FeAu: relaxed, PBE.

Unit cell a=4.382 b=4.382 c=4.382 alpha=60.00 beta=60.00 gamma=60.00
Site moments in Bohr magnetons follow the coordinates.
Positions (direct):
Zn: 0.000 0.000 0.000  -0.04
Au: 0.500 0.500 0.500  0.03
Fe: 0.750 0.750 0.750  2.73
Zn: 0.250 0.250 0.250  -0.01

crystal system	cubic
ΔE_f	0.27	eV/f.u.
density of states at the Fermi level	4.39	states/eV/cell
magnetization	2.756	μB per formula unit

Zn2FeAu: relaxed, PBE.

Unit cell a=3.564 b=2.758 c=6.510 alpha=65.27 beta=90.00 gamma=90.00
Site moments in Bohr magnetons follow the coordinates.
Positions (direct):
Fe: 0.500 0.750 0.750  2.30
Zn: 0.000 0.025 0.975  -0.04
Zn: 0.000 0.475 0.525  -0.04
Au: 0.500 0.250 0.250  -0.02

crystal system	monoclinic
ΔE_f	-0.06	eV/f.u.
density of states at the Fermi level	2.63	states/eV/cell
magnetization	2.162	μB per formula unit

Zn2FeAu: relaxed, PBE.

Unit cell a=2.792 b=3.833 c=5.518 alpha=90.00 beta=90.00 gamma=90.00
Site moments in Bohr magnetons follow the coordinates.
Positions (direct):
Fe: 0.500 0.500 0.766  2.65
Au: 0.000 0.000 0.502  0.03
Zn: 0.000 0.000 0.989  -0.04
Zn: 0.500 0.500 0.243  -0.02

crystal system	orthorhombic
ΔE_f	0.11	eV/f.u.
density of states at the Fermi level	3.06	states/eV/cell
magnetization	2.614	μB per formula unit

Zn2FeAu: relaxed, PBE.

Unit cell a=9.209 b=9.209 c=9.209 alpha=17.38 beta=17.38 gamma=17.38
Site moments in Bohr magnetons follow the coordinates.
Positions (direct):
Fe: 0.747 0.747 0.747  2.64
Zn: 0.005 0.005 0.005  -0.06
Au: 0.497 0.497 0.497  -0.02
Zn: 0.250 0.250 0.250  -0.01

crystal system	trigonal
ΔE_f	0.40	eV/f.u.
density of states at the Fermi level	1.87	states/eV/cell
magnetization	2.459	μB per formula unit

Zn2FeAu: relaxed, PBE.

Unit cell a=4.724 b=4.724 c=2.758 alpha=90.00 beta=90.00 gamma=107.21
Site moments in Bohr magnetons follow the coordinates.
Positions (direct):
Fe: 0.000 0.500 0.500  2.36
Au: 0.500 0.000 0.500  -0.06
Zn: 0.000 0.000 0.000  -0.07
Zn: 0.500 0.500 0.000  -0.07

crystal system	orthorhombic
ΔE_f	0.13	eV/f.u.
density of states at the Fermi level	3.05	states/eV/cell
magnetization	2.045	μB per formula unit

Zn2FeAu2: relaxed, PBE.

Unit cell a=7.310 b=7.310 c=3.097 alpha=90.00 beta=90.00 gamma=90.00
Site moments in Bohr magnetons follow the coordinates.
Positions (direct):
Au: 0.148 0.352 0.000  0.01
Au: 0.352 0.852 0.000  0.02
Fe: 0.500 0.500 0.000  3.08
Zn: 0.847 0.347 0.500  0.00
Fe: 0.000 0.000 0.000  3.08
Zn: 0.653 0.847 0.500  0.00
Zn: 0.347 0.153 0.500  0.00
Au: 0.648 0.148 0.000  0.02
Au: 0.852 0.648 0.000  0.01
Zn: 0.153 0.653 0.500  0.00

crystal system	tetragonal
energy above the lowest structure with this stoichiometry	0.000	eV/atom
ΔE_f	0.45	eV/f.u.
density of states at the Fermi level	4.59	states/eV/cell
magnetization	3.185	μB per formula unit